1.
# RbPaAu2S4 | Alexandria via LeMat-Bulk | PBE-GGA | relaxed
data_RbPaAu2S4
_chemical_formula_sum 'Rb2 Pa2 Au4 S8'
_cell_length_a 6.200
_cell_length_b 8.493
_cell_length_c 9.185
_cell_angle_alpha 90.00
_cell_angle_beta 90.00
_cell_angle_gamma 90.00
_space_group_name_H-M_alt 'I 2 2 2'
_space_group_IT_number 23
_space_group_name_Hall 'I 2 2'
loop_
_atom_site_label
_atom_site_type_symbol
_atom_site_fract_x
_atom_site_fract_y
_atom_site_fract_z
_atom_site_occupancy
Rb1 Rb 0.000 0.000 0.000 1
Pa1 Pa 0.000 0.000 0.500 1
Au1 Au 0.000 0.500 0.160 1
S1 S 0.211 0.177 0.324 1
# DFT total energy ... -40.25 eV per formula unit
# Energy relative to the elements, uncorrected ... -6.73 eV per formula unit
# V ... 30.2 Å³ per atom

***

2.
# Nb2VCl | Alexandria via LeMat-Bulk | PBE-GGA | relaxed
data_Nb2VCl
_chemical_formula_sum 'Nb8 V4 Cl4'
_cell_length_a 3.844
_cell_length_b 3.844
_cell_length_c 19.633
_cell_angle_alpha 90.00
_cell_angle_beta 90.00
_cell_angle_gamma 90.00
_space_group_name_H-M_alt 'I -4 2 d'
_space_group_IT_number 122
_space_group_name_Hall 'I -4 2bw'
loop_
_atom_site_label
_atom_site_type_symbol
_atom_site_fract_x
_atom_site_fract_y
_atom_site_fract_z
_atom_site_occupancy
Nb1 Nb 0.248 0.250 0.125 1
V1 V 0.000 0.000 0.000 1
Cl1 Cl 0.000 0.000 0.500 1
# DFT total energy ... -28.35 eV per formula unit
# Energy relative to the elements, uncorrected ... 2.76 eV per formula unit
# V ... 18.1 Å³ per atom
# DOS at the Fermi energy ... 1.1861 states/eV per atom